No. 1
A plane-wave DFT calculation with GGA-PBE was carried out for crystalline TaCuS2 at its relaxed geometry.

Computed properties:
ΔE to the lowest computed polymorph (kJ per mole of atoms): 0.0
Crystal system: hexagonal

Unit cell a=3.3759 b=3.3759 c=13.3297 alpha=90.00 beta=90.00 gamma=120.00
Space group P6_3mc (No. 186)
Inequivalent atoms, fractional coordinates:
Ta: 0.3333 0.6667 0.0000
Cu: 0.3333 0.6667 0.2185
S: 0.3333 0.6667 0.3842
S: 0.3333 0.6667 0.6203

No. 2
A plane-wave DFT calculation with GGA-PBE was carried out for crystalline TaCuS3 at its relaxed geometry.

Computed properties:
Crystal system: cubic

Unit cell a=4.4039 b=4.4039 c=4.4039 alpha=90.00 beta=90.00 gamma=90.00
Space group Pm-3m (No. 221)
Inequivalent atoms, fractional coordinates:
Ta: 0.0000 0.0000 0.0000
Cu: 0.5000 0.5000 0.5000
S: 0.0000 0.5000 0.5000

No. 3
A plane-wave DFT calculation with GGA-PBE was carried out for crystalline Ta3Cu2S6 at its relaxed geometry.

Computed properties:
Crystal system: orthorhombic

Unit cell a=3.3572 b=17.4634 c=13.2104 alpha=90.00 beta=90.00 gamma=90.00
Space group Cmc2_1 (No. 36)
Inequivalent atoms, fractional coordinates:
Ta: 0.0000 0.0564 0.9997
Ta: 0.0000 0.2780 0.4997
Ta: 0.0000 0.3906 0.0000
Cu: 0.0000 0.0533 0.7857
Cu: 0.0000 0.2795 0.7143
S: 0.0000 0.0543 0.6179
S: 0.0000 0.0574 0.3811
S: 0.0000 0.2788 0.8826
S: 0.0000 0.2809 0.1195
S: 0.0000 0.3854 0.3790
S: 0.0000 0.3911 0.6185

No. 4
A plane-wave DFT calculation with GGA-PBE was carried out for crystalline TaCu4S5 at its relaxed geometry.

Computed properties:
Crystal system: tetragonal

Unit cell a=7.5282 b=7.5282 c=6.1654 alpha=90.00 beta=90.00 gamma=90.00
Space group I4 (No. 79)
Inequivalent atoms, fractional coordinates:
Ta: 0.0000 0.0000 0.0000
Cu: 0.1656 0.2666 0.4822
S: 0.0000 0.0000 0.6162
S: 0.0640 0.2946 0.1334

No. 5
A plane-wave DFT calculation with GGA-PBE was carried out for crystalline Ta2CuS at its relaxed geometry.

Computed properties:
Crystal system: tetragonal

Unit cell a=5.3708 b=5.3708 c=11.5595 alpha=90.00 beta=90.00 gamma=90.00
Space group I-42d (No. 122)
Inequivalent atoms, fractional coordinates:
Ta: 0.2482 0.2500 0.1250
Cu: 0.0000 0.0000 0.0000
S: 0.0000 0.0000 0.5000

No. 6
A plane-wave DFT calculation with GGA-PBE was carried out for crystalline TaCuS2 at its relaxed geometry.

Computed properties:
ΔE to the lowest computed polymorph (kJ per mole of atoms): 13.5
Crystal system: trigonal

Unit cell a=3.3008 b=3.3008 c=22.6991 alpha=90.00 beta=90.00 gamma=120.00
Space group R-3m (No. 166, hexagonal axes)
Inequivalent atoms, fractional coordinates:
Ta: 0.0000 0.0000 0.0000
Cu: 0.0000 0.0000 0.5000
S: 0.0000 0.0000 0.4038

No. 7
A plane-wave DFT calculation with GGA-PBE was carried out for crystalline TaCuS2 at its relaxed geometry.

Computed properties:
ΔE to the lowest computed polymorph (kJ per mole of atoms): 45.0
Crystal system: tetragonal

Unit cell a=5.5680 b=5.5680 c=10.0375 alpha=90.00 beta=90.00 gamma=90.00
Space group I-42d (No. 122)
Inequivalent atoms, fractional coordinates:
Ta: 0.0000 0.0000 0.0000
Cu: 0.0000 0.0000 0.5000
S: 0.2370 0.2500 0.6250

No. 8
A plane-wave DFT calculation with GGA-PBE was carried out for crystalline TaTiCuS4 at its relaxed geometry.

Computed properties:
Crystal system: orthorhombic

Unit cell a=7.0163 b=7.2001 c=10.0523 alpha=90.00 beta=90.00 gamma=90.00
Space group Imma (No. 74)
Inequivalent atoms, fractional coordinates:
Ta: 0.2500 0.2500 0.2500
Ti: 0.0000 0.0000 0.0000
Cu: 0.0000 0.2500 0.6257
S: 0.0000 0.0046 0.2462
S: 0.2408 0.2500 0.0035

No. 9
A plane-wave DFT calculation with GGA-PBE was carried out for crystalline TaTlCuS2 at its relaxed geometry.

Computed properties:
Crystal system: tetragonal

Unit cell a=4.6800 b=4.6800 c=5.9184 alpha=90.00 beta=90.00 gamma=90.00
Space group P4/mmm (No. 123)
Inequivalent atoms, fractional coordinates:
Ta: 0.0000 0.0000 0.0000
Tl: 0.0000 0.0000 0.5000
Cu: 0.5000 0.5000 0.5000
S: 0.0000 0.5000 0.0000

No. 10
A plane-wave DFT calculation with GGA-PBE was carried out for crystalline TaTl2Cu2S4 at its relaxed geometry.

Computed properties:
Crystal system: monoclinic

Unit cell a=13.6612 b=3.5903 c=7.9167 alpha=90.00 beta=107.42 gamma=90.00
Space group C2/m (No. 12)
Inequivalent atoms, fractional coordinates:
Ta: 0.0000 0.0000 0.0000
Tl: 0.1402 0.0000 0.5486
Cu: 0.1763 0.5000 0.9747
S: 0.0161 0.5000 0.7829
S: 0.1886 0.0000 0.1664

No. 11
A plane-wave DFT calculation with GGA-PBE was carried out for crystalline Ta2Tl3Cu3S8 at its relaxed geometry.

Computed properties:
Crystal system: monoclinic

Unit cell a=20.3288 b=5.5946 c=7.6441 alpha=90.00 beta=95.18 gamma=90.00
Space group C2 (No. 5)
Inequivalent atoms, fractional coordinates:
Ta: 0.1254 0.0000 0.1841
Tl: 0.0000 0.2203 0.5000
Tl: 0.1960 0.8397 0.7212
Cu: 0.0000 0.0015 0.0000
Cu: 0.1208 0.4999 0.1720
S: 0.0363 0.7661 0.2441
S: 0.0924 0.2305 0.9407
S: 0.1549 0.2571 0.4135
S: 0.2096 0.7501 0.1220

No. 12
A plane-wave DFT calculation with GGA-PBE was carried out for crystalline Zr2TaCuS at its relaxed geometry.

Computed properties:
Crystal system: tetragonal

Unit cell a=4.9201 b=4.9201 c=4.6010 alpha=90.00 beta=90.00 gamma=90.00
Space group P4/mmm (No. 123)
Inequivalent atoms, fractional coordinates:
Zr: 0.0000 0.5000 0.0000
Ta: 0.0000 0.0000 0.5000
Cu: 0.0000 0.0000 0.0000
S: 0.5000 0.5000 0.5000

Uncorrected formation energy across the listed records, respectively: -3.08, 3.39, -9.89, -3.46, 2.75, -2.52, -1.21, -6.97, 1.30, -4.54, -10.72, 3.87 eV/f.u..
Total energy across the listed records, respectively: -54.561, -24.944, -313.633, -104.671, -116.727, -80.158, -101.654, -189.275, -25.274, -91.662, -173.655, -33.307 eV for the cell shown.